VASP calculation (GGA-PBE) on a relaxed Ba2YSc crystal.

Values from the calculation:
total moment = 0.4 μB per formula unit
V = 159.8 Å³/cell
Fermi-level density of states = 6.84 states/eV/cell
energy relative to the elements = 156 kJ/mol of formula units
uncorrected energy = -3.757 eV per atom

Unit cell a=4.212 b=6.072 c=6.250 alpha=90.00 beta=90.00 gamma=90.00
Last column: magnetic moment on the atom in μB.
Fractional positions:
Ba  0.000  0.000  0.000  0.01
Ba  0.500  0.500  0.000  0.01
Sc  0.500  0.000  0.500  0.12
Y  0.000  0.500  0.500  0.06